# 1
{
  "formula": "HfFeSb3",
  "functional": "GGA-PBE",
  "state": "optimized geometry",
  "lattice_angstrom": [[4.972, 0.000, 0.000], [0.000, 4.972, 0.000], [0.000, 0.000, 4.972]],
  "species": ["Hf", "Fe", "Sb", "Sb", "Sb"],
  "frac_coords": [[0.000, 0.000, 0.000], [0.500, 0.500, 0.500], [0.000, 0.500, 0.500], [0.500, 0.000, 0.500], [0.500, 0.500, 0.000]],
  "density_g_cm3": 8.10,
  "relative_energy_kj_per_mol_fu": 0,
  "crystal_system": "cubic",
  "dos_at_fermi_per_ev_atom": 1.51,
  "e_form_raw_ev_per_atom": 0.577,
  "spacegroup": "Pm-3m (221)"
}

---

# 2
{
  "formula": "Hf5FeSb2",
  "functional": "GGA-PBE",
  "state": "optimized geometry",
  "lattice_angstrom": [[-5.457, 5.457, 2.781], [5.457, -5.457, 2.781], [5.457, 5.457, -2.781]],
  "species": ["Hf", "Hf", "Hf", "Hf", "Hf", "Hf", "Hf", "Hf", "Hf", "Hf", "Fe", "Fe", "Sb", "Sb", "Sb", "Sb"],
  "frac_coords": [[0.070, 0.800, 0.870], [0.200, 0.070, 0.269], [0.250, 0.750, 0.500], [0.300, 0.570, 0.870], [0.430, 0.300, 0.731], [0.570, 0.700, 0.269], [0.700, 0.430, 0.130], [0.750, 0.250, 0.500], [0.800, 0.930, 0.731], [0.930, 0.200, 0.130], [0.250, 0.250, 0.000], [0.750, 0.750, 0.000], [0.165, 0.335, 0.500], [0.335, 0.835, 0.171], [0.665, 0.165, 0.829], [0.835, 0.665, 0.500]],
  "density_g_cm3": 11.95,
  "relative_energy_kj_per_mol_fu": 0,
  "crystal_system": "tetragonal",
  "dos_at_fermi_per_ev_atom": 1.07,
  "e_form_raw_ev_per_atom": -0.429,
  "spacegroup": "I4/mcm (140)"
}

---

Q: Which formula does entry 2 have?
A: Hf5FeSb2

---

Copy entry 2 word for word.
{
  "formula": "Hf5FeSb2",
  "functional": "GGA-PBE",
  "state": "optimized geometry",
  "lattice_angstrom": [[-5.457, 5.457, 2.781], [5.457, -5.457, 2.781], [5.457, 5.457, -2.781]],
  "species": ["Hf", "Hf", "Hf", "Hf", "Hf", "Hf", "Hf", "Hf", "Hf", "Hf", "Fe", "Fe", "Sb", "Sb", "Sb", "Sb"],
  "frac_coords": [[0.070, 0.800, 0.870], [0.200, 0.070, 0.269], [0.250, 0.750, 0.500], [0.300, 0.570, 0.870], [0.430, 0.300, 0.731], [0.570, 0.700, 0.269], [0.700, 0.430, 0.130], [0.750, 0.250, 0.500], [0.800, 0.930, 0.731], [0.930, 0.200, 0.130], [0.250, 0.250, 0.000], [0.750, 0.750, 0.000], [0.165, 0.335, 0.500], [0.335, 0.835, 0.171], [0.665, 0.165, 0.829], [0.835, 0.665, 0.500]],
  "density_g_cm3": 11.95,
  "relative_energy_kj_per_mol_fu": 0,
  "crystal_system": "tetragonal",
  "dos_at_fermi_per_ev_atom": 1.07,
  "e_form_raw_ev_per_atom": -0.429,
  "spacegroup": "I4/mcm (140)"
}